A plane-wave DFT calculation with GGA+U was carried out for crystalline Sr2ScVO6 at its relaxed geometry.

Geometry as POSCAR:
```
Sr2ScVO6
1.0
5.635 0.000 0.000
2.817 4.880 0.000
2.817 1.627 4.601
O Sr V Sc
6 2 1 1
Direct
0.261 0.739 0.261
0.261 0.261 0.739
0.739 0.261 0.261
0.739 0.261 0.739
0.739 0.739 0.261
0.261 0.739 0.739
0.750 0.750 0.750
0.250 0.250 0.250
0.500 0.500 0.500
0.000 0.000 0.000
```

Calculated values
DFT total energy: -74.89 eV/cell
ρ: 4.8 g cm⁻³
Space group: Fm-3m, No. 225
Total moment: 0.000 Bohr magnetons per cell